No. 1
Here is a relaxed structure of PrSiAsO from OQMD. Energies are from GGA-PBE.

Cell: 3.8386 6.1847 7.2217 Å, 90.00 90.00 90.00°
With the nearest neighbours (Å) after each atom.
Space group Pmc2_1 (No. 26)
Unique sites:
Pr (0.0000, 0.2465, 0.0000) [2 per cell]  2 O 2.37
Si (0.5000, 0.3802, 0.6051) [2 per cell]  1 O 1.68
As (0.0000, 0.2461, 0.4240) [2 per cell]  2 Si 2.47
O (0.5000, 0.2449, 0.8074) [2 per cell]  1 Si 1.68

Output
* theoretical density: 5.035 g/cm³
* final energy: -6.402 eV/atom
* crystal system: orthorhombic



No. 2
Here is a relaxed structure of PrSiAsO from OQMD. Energies are from GGA-PBE.

Cell: 6.0253 6.0253 4.7930 Å, 90.00 90.00 90.00°
With the nearest neighbours (Å) after each atom.
Space group P4/nmm (No. 129, origin choice 2)
Unique sites:
Pr (0.2500, 0.7500, 0.0000) [2 per cell]  2 O 2.40
Si (0.2500, 0.2500, 0.4940) [2 per cell]  2 As 2.40
As (0.2500, 0.2500, 0.9940) [2 per cell]  2 Si 2.40
O (0.2500, 0.7500, 0.5000) [2 per cell]  2 Pr 2.40

Output
* theoretical density: 4.961 g/cm³
* final energy: -5.771 eV/atom
* crystal system: tetragonal



No. 3
Here is a relaxed structure of PrSiAsO from OQMD. Energies are from GGA-PBE.

Cell: 4.3529 4.5526 7.4495 Å, 89.82 89.65 89.82°
With the nearest neighbours (Å) after each atom.
Space group P1 (No. 1)
Unique sites:
Pr (0.0000, 0.0000, 0.0000) [1 per cell]  3 O 2.53-2.56
Pr (0.4849, 0.9976, 0.4992) [1 per cell]  3 O 2.54-2.56
Si (0.5093, 0.5146, 0.1644) [1 per cell]  1 O 1.71
Si (0.9759, 0.5171, 0.6657) [1 per cell]  1 O 1.70
As (0.0066, 0.4490, 0.3321) [1 per cell]  3 Si 2.51-2.53
As (0.4754, 0.4488, 0.8300) [1 per cell]  3 Si 2.51-2.52
O (0.5020, 0.8900, 0.1644) [1 per cell]  1 Si 1.71
O (0.9805, 0.8914, 0.6651) [1 per cell]  1 Si 1.70

Output
* theoretical density: 5.847 g/cm³
* final energy: -6.361 eV/atom
* crystal system: triclinic



No. 4
Here is a relaxed structure of PrSnAsO from OQMD. Energies are from GGA-PBE.

Cell: 5.7629 5.7629 5.3822 Å, 90.00 90.00 90.00°
With the nearest neighbours (Å) after each atom.
Space group P4/nmm (No. 129, origin choice 2)
Unique sites:
Pr (0.2500, 0.7500, 0.0000) [2 per cell]  2 O 2.69, 4 As 2.88
Sn (0.2500, 0.2500, 0.4903) [2 per cell]  2 As 2.68-2.70, 4 O 2.88
As (0.2500, 0.2500, 0.9881) [2 per cell]  2 Sn 2.68-2.70, 4 Pr 2.88
O (0.2500, 0.7500, 0.5000) [2 per cell]  2 Pr 2.69, 4 Sn 2.88

Output
* theoretical density: 6.513 g/cm³
* final energy: -5.603 eV/atom
* crystal system: tetragonal



No. 5
Here is a relaxed structure of PrSnAsO from OQMD. Energies are from GGA-PBE.

Cell: 4.1426 8.5960 6.3199 Å, 90.00 90.00 90.00°
With the nearest neighbours (Å) after each atom.
Space group Pmc2_1 (No. 26)
Unique sites:
Pr (0.0000, 0.1691, 0.0000) [2 per cell]  2 O 2.26
Sn (0.5000, 0.3657, 0.5981) [2 per cell]  1 O 2.20
As (0.0000, 0.1770, 0.4788) [2 per cell]  2 Sn 2.74, 2 Pr 2.98-3.03
O (0.5000, 0.2514, 0.9092) [2 per cell]  1 Sn 2.20, 2 Pr 2.26

Output
* theoretical density: 5.173 g/cm³
* final energy: -5.972 eV/atom
* crystal system: orthorhombic



No. 6
Here is a relaxed structure of PrSnAsO from OQMD. Energies are from GGA-PBE.

Cell: 4.5559 5.8692 6.6951 Å, 90.00 90.00 90.00°
With the nearest neighbours (Å) after each atom.
Space group Pmc2_1 (No. 26)
Unique sites:
Pr (0.0000, 0.2333, 0.0000) [2 per cell]  2 O 2.36-2.39
Sn (0.5000, 0.3630, 0.3900) [2 per cell]  2 O 2.36
As (0.5000, 0.0695, 0.7156) [2 per cell]  2 Sn 2.78-2.79
O (0.0000, 0.4206, 0.3114) [2 per cell]  2 Pr 2.36-2.39, 2 Sn 2.36

Output
* theoretical density: 6.503 g/cm³
* final energy: -5.937 eV/atom
* crystal system: orthorhombic



No. 7
Here is a relaxed structure of PrSnAsO from OQMD. Energies are from GGA-PBE.

Cell: 4.2672 4.2672 9.9918 Å, 90.00 90.00 90.00°
With the nearest neighbours (Å) after each atom.
Space group P4/nmm (No. 129, origin choice 2)
Unique sites:
Pr (0.2500, 0.2500, 0.1090) [2 per cell]  4 O 2.40
Sn (0.2500, 0.7500, 0.5000) [2 per cell]  4 Sn 3.02, 4 As 3.06
As (0.2500, 0.2500, 0.7191) [2 per cell]  4 Sn 3.06
O (0.2500, 0.7500, 0.0000) [2 per cell]  4 Pr 2.40

Output
* theoretical density: 6.399 g/cm³
* final energy: -6.026 eV/atom
* crystal system: tetragonal



No. 8
Here is a relaxed structure of SrPrAsO from OQMD. Energies are from GGA-PBE.

Cell: 4.5060 4.5060 9.5490 Å, 90.00 90.00 90.00°
With the nearest neighbours (Å) after each atom.
Space group P4/nmm (No. 129, origin choice 2)
Unique sites:
Sr (0.2500, 0.7500, 0.0000) [2 per cell]  4 As 3.02, 4 Sr 3.19
Pr (0.2500, 0.2500, 0.4023) [2 per cell]  4 O 2.44
As (0.2500, 0.2500, 0.7889) [2 per cell]  4 Sr 3.02
O (0.2500, 0.7500, 0.5000) [2 per cell]  4 Pr 2.44

Output
* theoretical density: 5.472 g/cm³
* final energy: -5.754 eV/atom
* crystal system: tetragonal



No. 9
Here is a relaxed structure of SrPrAsO from OQMD. Energies are from GGA-PBE.

Cell: 4.9184 4.9184 9.6604 Å, 90.00 90.00 90.00°
With the nearest neighbours (Å) after each atom.
Space group P4/nmm (No. 129, origin choice 2)
Unique sites:
Sr (0.2500, 0.2500, 0.0526) [2 per cell]  4 O 2.51
Pr (0.2500, 0.7500, 0.5000) [2 per cell]  4 As 2.94
As (0.2500, 0.2500, 0.6669) [2 per cell]  4 Pr 2.94
O (0.2500, 0.7500, 0.0000) [2 per cell]  4 Sr 2.51

Output
* theoretical density: 4.540 g/cm³
* final energy: -5.436 eV/atom
* crystal system: tetragonal



No. 10
Here is a relaxed structure of SrPrAsO from OQMD. Energies are from GGA-PBE.

Cell: 4.5039 4.5039 9.5468 Å, 90.00 90.00 90.00°
With the nearest neighbours (Å) after each atom.
Space group P4/nmm (No. 129, origin choice 2)
Unique sites:
Sr (0.2500, 0.7500, 0.0000) [2 per cell]  4 As 3.02, 4 Sr 3.18
Pr (0.2500, 0.2500, 0.4020) [2 per cell]  4 O 2.44
As (0.2500, 0.2500, 0.7888) [2 per cell]  4 Sr 3.02
O (0.2500, 0.7500, 0.5000) [2 per cell]  4 Pr 2.44

Output
* theoretical density: 5.478 g/cm³
* final energy: -5.754 eV/atom
* crystal system: tetragonal



No. 11
Here is a relaxed structure of SrPrAsO from OQMD. Energies are from GGA-PBE.

Cell: 4.3175 6.7925 7.2198 Å, 90.00 90.00 90.00°
With the nearest neighbours (Å) after each atom.
Space group Pmc2_1 (No. 26)
Unique sites:
Sr (0.0000, 0.0467, 0.0000) [2 per cell]  2 O 2.44-2.57
Pr (0.5000, 0.3631, 0.3402) [2 per cell]  2 O 2.33
As (0.5000, 0.2204, 0.7300) [2 per cell]  2 Pr 2.94-2.98, 4 Sr 3.14-3.27
O (0.0000, 0.2496, 0.2789) [2 per cell]  2 Pr 2.33, 2 Sr 2.44-2.57

Output
* theoretical density: 5.011 g/cm³
* final energy: -5.953 eV/atom
* crystal system: orthorhombic



No. 12
Here is a relaxed structure of SrPrAsO from OQMD. Energies are from GGA-PBE.

Cell: 4.3611 7.0078 7.0500 Å, 90.00 90.00 90.00°
With the nearest neighbours (Å) after each atom.
Space group Pmc2_1 (No. 26)
Unique sites:
Sr (0.0000, 0.1350, 0.0000) [2 per cell]  2 O 2.42
Pr (0.5000, 0.4649, 0.6784) [2 per cell]  2 O 2.33-2.42
As (0.0000, 0.3037, 0.4206) [2 per cell]  4 Pr 3.06-3.21, 2 Sr 3.12-3.19
O (0.5000, 0.2774, 0.9509) [2 per cell]  2 Pr 2.33-2.42, 2 Sr 2.42

Output
* theoretical density: 4.924 g/cm³
* final energy: -6.025 eV/atom
* crystal system: orthorhombic



Which of these has the lowest theoretical density?
number 9